(1)
Density functional theory data (GGA-PBE) for an optimized crystal structure of BaRuCl2.

```
4
Lattice="2.201 1.271 6.062 -2.201 1.271 6.062 0.000 -2.541 6.062" Properties=species:S:1:pos:R:3 pbc="T T T"
Ba 0.000 0.000 0.000
Ru 0.000 0.000 3.710
Cl 0.000 0.000 10.260
Cl 0.000 0.000 14.002
```

Computed properties:
ρ (kg/m3): 5049
Symmetry: R3m, No. 160
Polymorph energy (0 for the lowest one) (meV per atom): 150
Total DFT energy (no corrections) (eV per atom): -4.345
ΔE_f (raw) (eV/atom): -0.622

***

(2)
Density functional theory data (GGA-PBE) for an optimized crystal structure of TlCd2Pt2.

```
5
Lattice="-2.006 2.006 6.804 2.006 -2.006 6.804 2.006 2.006 -6.804" Properties=species:S:1:pos:R:3 pbc="T T T"
Tl 0.000 0.000 0.000
Cd 0.000 0.000 5.308
Cd 0.000 0.000 8.300
Pt 2.006 0.000 3.402
Pt 0.000 2.006 3.402
```

Computed properties:
ρ (kg/m3): 12419
ΔH_f (0 K) (eV per atom): -0.01
Symmetry: I4/mmm, No. 139
Total DFT energy (no corrections) (eV per atom): -3.264

***

(3)
Density functional theory data (GGA-PBE) for an optimized crystal structure of ZnRe3.

```
4
Lattice="4.663 -1.402 0.000 4.663 1.402 0.000 -1.030 0.000 4.562" Properties=species:S:1:pos:R:3 pbc="T T T"
Zn 0.000 0.000 0.000
Re 1.481 0.000 3.366
Re 4.148 0.000 2.281
Re 6.814 0.000 1.196
```

Computed properties:
ρ (kg/m3): 17373
ΔH_f (0 K) (eV per atom): 0.24
Symmetry: C2/m, No. 12
Total DFT energy (no corrections) (eV per atom): -9.417

***

(4)
Density functional theory data (GGA-PBE) for an optimized crystal structure of SrSc3W.

```
5
Lattice="5.251 0.000 0.000 0.000 5.251 0.000 0.000 0.000 5.251" Properties=species:S:1:pos:R:3 pbc="T T T"
Sr 0.000 0.000 0.000
Sc 0.000 2.626 2.626
Sc 2.626 0.000 2.626
Sc 2.626 2.626 0.000
W 2.626 2.626 2.626
```

Computed properties:
ρ (kg/m3): 4660
ΔH_f (0 K) (eV per atom): 0.41
Symmetry: Pm-3m, No. 221
Polymorph energy (0 for the lowest one) (meV per atom): 0
Total DFT energy (no corrections) (eV per atom): -6.320

***

(5)
Density functional theory data (GGA-PBE) for an optimized crystal structure of ReMoS2.

```
8
Lattice="-2.729 2.729 4.957 2.729 -2.729 4.957 2.729 2.729 -4.957" Properties=species:S:1:pos:R:3 pbc="T T T"
Re 0.000 0.000 0.000
Re 0.000 2.729 2.479
Mo 2.729 0.000 2.479
Mo 0.000 0.000 4.957
S 4.094 1.309 -1.239
S 1.309 1.365 1.239
S -1.365 1.420 3.718
S 1.420 1.365 6.197
```

Computed properties:
ρ (kg/m3): 7787
Symmetry: I-42d, No. 122
Polymorph energy (0 for the lowest one) (meV per atom): 248
Total DFT energy (no corrections) (eV per atom): -7.703
ΔE_f (raw) (eV/atom): 0.180

***

(6)
Density functional theory data (GGA-PBE) for an optimized crystal structure of Tb5PrDyHo2.

```
18
Lattice="2.814 -9.957 0.000 2.814 9.957 0.000 0.000 0.000 10.552" Properties=species:S:1:pos:R:3 pbc="T T T"
Tb 2.814 9.609 5.276
Tb 2.814 4.367 8.328
Tb 2.814 4.021 1.952
Tb 2.814 2.250 5.267
Tb 2.814 0.427 2.255
Tb 2.814 -0.427 7.531
Tb 2.814 -2.250 10.543
Tb 2.814 -4.021 7.228
Tb 2.814 -4.367 3.052
Tb 2.814 -9.609 0.000
Pr 2.814 1.678 9.784
Pr 2.814 -1.678 4.508
Dy 2.814 5.982 5.153
Dy 2.814 -5.982 10.429
Ho 2.814 7.731 2.219
Ho 2.814 7.684 8.393
Ho 2.814 -7.684 3.117
Ho 2.814 -7.731 7.495
```

Computed properties:
ρ (kg/m3): 8020
ΔH_f (0 K) (eV per atom): 0.16
Symmetry: Cmc2_1, No. 36
Total DFT energy (no corrections) (eV per atom): -4.473

***

(7)
Density functional theory data (GGA-PBE) for an optimized crystal structure of YAl3Ag.

```
5
Lattice="-2.092 2.092 5.668 2.092 -2.092 5.668 2.092 2.092 -5.668" Properties=species:S:1:pos:R:3 pbc="T T T"
Y 0.000 0.000 0.000
Al 0.000 0.000 4.426
Al 0.000 0.000 6.909
Al 0.000 2.092 2.834
Ag 2.092 0.000 2.834
```

Computed properties:
ρ (kg/m3): 4648
ΔH_f (0 K) (eV per atom): -0.36
Symmetry: I-4m2, No. 119
Polymorph energy (0 for the lowest one) (meV per atom): 15
Total DFT energy (no corrections) (eV per atom): -4.464

***

(8)
Density functional theory data (GGA-PBE) for an optimized crystal structure of Mg2TiAl.

```
8
Lattice="-3.858 3.858 2.802 3.858 -3.858 2.802 3.858 3.858 -2.802" Properties=species:S:1:pos:R:3 pbc="T T T"
Mg 5.787 1.789 -0.700
Mg 1.789 1.929 0.700
Mg -1.929 2.070 2.101
Mg 2.070 1.929 3.502
Ti 3.858 0.000 1.401
Ti 0.000 0.000 2.802
Al 0.000 0.000 0.000
Al 0.000 3.858 1.401
```

Computed properties:
ρ (kg/m3): 2458
ΔH_f (0 K) (eV per atom): 0.40
Symmetry: I-42d, No. 122
Total DFT energy (no corrections) (eV per atom): -3.304